First-principles (PBE-GGA) data for an optimized crystal structure of Tm5Cd2Tc, as listed in Alexandria.

Unit cell a=5.0436 b=6.5048 c=12.1984 alpha=90.00 beta=90.00 gamma=90.00
Closest atoms and distances in Å follow each position.
Fractional coordinates of all 16 atoms:
Tm (0.5000, 0.3425, 0.1019)  2 Tc 2.99, 3 Cd 3.12-3.24, 1 Tm 3.22
Tm (0.0000, 0.5000, 0.5000)  4 Cd 3.15, 2 Tc 3.25
Tm (0.0000, 0.1272, 0.2842)  1 Tc 2.76
Tm (0.0000, 0.0000, 0.0000)  4 Cd 3.15, 2 Tc 3.25
Tm (0.5000, 0.1575, 0.6019)  2 Tc 2.99, 3 Cd 3.12-3.24, 1 Tm 3.22
Tm (0.0000, 0.3728, 0.7842)  1 Tc 2.76
Tm (0.5000, 0.8425, 0.3981)  2 Tc 2.99, 3 Cd 3.12-3.24, 1 Tm 3.22
Tc (0.0000, 0.0000, 0.5000)  6 Tm 2.76-2.99
Cd (0.5000, 0.6316, 0.6384)  8 Tm 3.12-3.45
Tm (0.0000, 0.6272, 0.2158)  1 Tc 2.76
Tm (0.5000, 0.6575, 0.8981)  2 Tc 2.99, 3 Cd 3.12-3.24, 1 Tm 3.22
Tm (0.0000, 0.8728, 0.7158)  1 Tc 2.76
Cd (0.5000, 0.1316, 0.8616)  8 Tm 3.12-3.45
Cd (0.5000, 0.3684, 0.3616)  8 Tm 3.12-3.45
Cd (0.5000, 0.8684, 0.1384)  8 Tm 3.12-3.45
Tc (0.0000, 0.5000, 0.0000)  6 Tm 2.76-2.99

Summary:
V, Å³ per cell: 400.20
Spin magnetization, μB/f.u.: 0.00
Energy of formation, meV per atom: -189